GGA-PBEsol ScNi4Sb, relaxed; calculated total energy = -38.19 eV for the cell shown; magnetization = 0.00 Bohr magnetons per cell; density = 8.4 Mg/m³
1.0
0.000 3.406 3.406
3.406 0.000 3.406
3.406 3.406 0.000
Sc Ni Sb
1 4 1
direct
0.000 0.000 0.000 Sc
0.374 0.374 0.374 Ni
0.374 0.374 0.877 Ni
0.374 0.877 0.374 Ni
0.877 0.374 0.374 Ni
0.750 0.750 0.750 Sb